This record from the Alexandria database describes HgOs2Se after structural relaxation. The functional is GGA-PBE.

Summary:
ΔE_f (raw)	3.759	eV/f.u.
DOS at the Fermi energy	1.082	states/eV per atom

a = 3.0435 Å, b = 3.0435 Å, c = 7.0308 Å
α = 90.00°, β = 90.00°, γ = 90.00°
Space group P4/mmm (No. 123)
Unique sites:
Hg 0.0000 0.0000 0.0000
Os 0.5000 0.5000 0.2901
Se 0.0000 0.0000 0.5000